## Y6As3PbSe2 (PBE)

Data for crystalline Y6As3PbSe2 at its relaxed geometry.

Summary:
formation energy without anion corrections	-1.48	eV/atom
mass density	6.05	Mg/m³
crystal system	monoclinic
symmetry	C2/m (12)

Cell lengths 4.130, 8.434, 9.338 Å; angles 103.15, 102.77, 90.00 degrees
Sites, in units of the cell vectors:
Y (0.999, 0.265, 0.998)
As (0.833, 0.168, 0.666)
Y (0.335, 0.409, 0.671)
Y (0.672, 0.079, 0.344)
Pb (0.500, 0.000, 0.000)
Se (0.831, 0.662, 0.662)
Y (0.665, 0.591, 0.329)
As (0.500, 0.500, 0.000)
Y (0.001, 0.735, 0.002)
Y (0.328, 0.921, 0.656)
Se (0.169, 0.338, 0.338)
As (0.167, 0.832, 0.334)